(1)
The following is a PBE calculation of a geometry-optimized BaCaSe2 structure, from Alexandria.

Cell lengths 7.642, 7.642, 7.642 Å; angles 90.00, 90.00, 90.00 degrees
Space group F-43m (No. 216)
Unique sites:
Ba 0.000 0.000 0.000
Ca 0.250 0.250 0.250
Se 0.000 0.000 0.500
Se 0.250 0.250 0.750

Calculated values
energy above the most stable polymorph in this dataset: 1101 meV/atom
formation energy without anion corrections: -3.599 eV per formula unit

(2)
The following is a PBE calculation of a geometry-optimized YMoS2 structure, from Alexandria.

Cell lengths 6.473, 6.473, 6.473 Å; angles 90.00, 90.00, 90.00 degrees
Space group Fm-3m (No. 225)
Unique sites:
Y 0.000 0.000 0.000
Mo 0.000 0.000 0.500
S 0.250 0.250 0.250

Calculated values
energy above the most stable polymorph in this dataset: 0 meV/atom
formation energy without anion corrections: -3.123 eV per formula unit

(3)
The following is a PBE calculation of a geometry-optimized HfSc2Os structure, from Alexandria.

Cell lengths 3.0602, 3.0602, 30.6661 Å; angles 90.00, 90.00, 120.00 degrees
Space group R-3m (No. 166, hexagonal axes)
Unique sites:
Hf 0.0000 0.0000 0.0000
Sc 0.0000 0.0000 0.0997
Os 0.0000 0.0000 0.5000

Calculated values
energy above the most stable polymorph in this dataset: 125 meV/atom
energy of formation from the pure elements: 0.1576 eV per atom

(4)
The following is a PBE calculation of a geometry-optimized Sm2CuPdO6 structure, from Alexandria.

Cell lengths 5.436, 5.881, 9.328 Å; angles 90.00, 125.41, 90.00 degrees
Space group P2_1/c (No. 14)
Unique sites:
Sm 0.228 0.078 0.250
Cu 0.500 0.000 0.000
Pd 0.000 0.000 0.500
O 0.135 0.198 0.947
O 0.256 0.692 0.947
O 0.367 0.038 0.755

Calculated values
formation energy without anion corrections: -19.699 eV per formula unit

(5)
The following is a PBE calculation of a geometry-optimized Rb2YTiNi structure, from Alexandria.

Cell lengths 6.785, 6.785, 4.318 Å; angles 90.00, 90.00, 90.00 degrees
Space group P4/mmm (No. 123)
Unique sites:
Rb 0.000 0.500 0.000
Y 0.000 0.000 0.500
Ti 0.500 0.500 0.000
Ni 0.500 0.500 0.500

Calculated values
energy of formation from the pure elements: 1.2294 eV per atom

(6)
The following is a PBE calculation of a geometry-optimized MnNiCl structure, from Alexandria.

Cell lengths 3.434, 3.584, 8.364 Å; angles 102.05, 92.57, 90.01 degrees
Space group P-1 (No. 2)
Unique sites:
Mn 0.203 0.460 0.419
Ni 0.303 0.062 0.627
Cl 0.240 0.652 0.811

Calculated values
energy above the most stable polymorph in this dataset: 239 meV/atom
formation energy without anion corrections: -0.084 eV per formula unit

(7)
The following is a PBE calculation of a geometry-optimized YZr2Co structure, from Alexandria.

Cell lengths 3.252, 3.252, 8.147 Å; angles 90.00, 90.00, 90.00 degrees
Space group P4/mmm (No. 123)
Unique sites:
Y 0.000 0.000 0.000
Zr 0.500 0.500 0.309
Co 0.000 0.000 0.500

Calculated values
energy above the most stable polymorph in this dataset: 148 meV/atom
energy of formation from the pure elements: -0.0013 eV per atom

(8)
The following is a PBE calculation of a geometry-optimized HfSc3Rh2 structure, from Alexandria.

Cell lengths 4.473, 8.192, 6.470 Å; angles 90.00, 90.00, 90.00 degrees
Space group Pmc2_1 (No. 26)
Unique sites:
Hf 0.000 0.073 0.000
Sc 0.000 0.330 0.633
Sc 0.500 0.172 0.339
Sc 0.500 0.422 0.969
Rh 0.000 0.338 0.217
Rh 0.500 0.151 0.756

Calculated values
energy of formation from the pure elements: -0.6618 eV per atom

(9)
The following is a PBE calculation of a geometry-optimized LaMgFe2As structure, from Alexandria.

Cell lengths 4.525, 4.525, 5.811 Å; angles 90.00, 90.00, 90.00 degrees
Space group P4/mmm (No. 123)
Unique sites:
La 0.000 0.000 0.000
Mg 0.000 0.000 0.500
Fe 0.000 0.500 0.000
As 0.500 0.500 0.500

Calculated values
energy of formation from the pure elements: 1.4480 eV per atom

(10)
The following is a PBE calculation of a geometry-optimized RbLaSN2 structure, from Alexandria.

Cell lengths 4.887, 4.887, 5.707 Å; angles 90.00, 90.00, 90.00 degrees
Space group P4/mmm (No. 123)
Unique sites:
Rb 0.000 0.000 0.000
La 0.500 0.500 0.500
S 0.500 0.500 0.000
N 0.000 0.500 0.500

Calculated values
energy above the most stable polymorph in this dataset: 0 meV/atom
formation energy without anion corrections: 0.972 eV per formula unit

(11)
The following is a PBE calculation of a geometry-optimized CoCu3 structure, from Alexandria.

Cell lengths 2.5260, 2.5260, 25.2487 Å; angles 90.00, 90.00, 120.00 degrees
Space group R-3m (No. 166, hexagonal axes)
Unique sites:
Co 0.0000 0.0000 0.0000
Cu 0.0000 0.0000 0.2508
Cu 0.0000 0.0000 0.5000

Calculated values
energy of formation from the pure elements: 0.0852 eV per atom

(12)
The following is a PBE calculation of a geometry-optimized PmSmBiSb structure, from Alexandria.

Cell lengths 4.525, 4.525, 6.393 Å; angles 90.00, 90.00, 90.00 degrees
Space group P4/mmm (No. 123)
Unique sites:
Pm 0.000 0.000 0.000
Sm 0.500 0.500 0.500
Bi 0.500 0.500 0.000
Sb 0.000 0.000 0.500

Calculated values
energy above the most stable polymorph in this dataset: 0 meV/atom
formation energy without anion corrections: -4.219 eV per formula unit

(13)
The following is a PBE calculation of a geometry-optimized Cs3RbI structure, from Alexandria.

Cell lengths 5.440, 12.390, 13.772 Å; angles 94.05, 90.09, 102.62 degrees
Space group P-1 (No. 2)
Unique sites:
Cs 0.042 0.085 0.219
Cs 0.265 0.532 0.678
Cs 0.352 0.704 0.063
Rb 0.410 0.819 0.435
I 0.195 0.389 0.126

Calculated values
formation energy without anion corrections: -2.904 eV per formula unit

(14)
The following is a PBE calculation of a geometry-optimized InSn2Ge2 structure, from Alexandria.

Cell lengths 4.034, 4.034, 15.930 Å; angles 90.00, 90.00, 90.00 degrees
Space group I4/mmm (No. 139)
Unique sites:
In 0.000 0.000 0.000
Sn 0.000 0.000 0.387
Ge 0.000 0.500 0.250

Calculated values
energy above the most stable polymorph in this dataset: 25 meV/atom
energy of formation from the pure elements: 0.1687 eV per atom

(15)
The following is a PBE calculation of a geometry-optimized NaGdInPt structure, from Alexandria.

Cell lengths 6.991, 6.991, 6.991 Å; angles 90.00, 90.00, 90.00 degrees
Space group F-43m (No. 216)
Unique sites:
Na 0.000 0.000 0.000
Gd 0.250 0.250 0.750
In 0.250 0.250 0.250
Pt 0.000 0.000 0.500

Calculated values
energy of formation from the pure elements: -0.5442 eV per atom

(16)
The following is a PBE calculation of a geometry-optimized MnCoSb2 structure, from Alexandria.

Cell lengths 6.712, 3.875, 6.435 Å; angles 90.00, 110.14, 90.00 degrees
Space group C2/m (No. 12)
Unique sites:
Mn 0.000 0.000 0.000
Co 0.000 0.500 0.500
Sb 0.239 0.000 0.717

Calculated values
energy above the most stable polymorph in this dataset: 138 meV/atom
formation energy without anion corrections: 0.774 eV per formula unit

(17)
The following is a PBE calculation of a geometry-optimized RbNiSb structure, from Alexandria.

Cell lengths 3.577, 3.577, 12.825 Å; angles 90.00, 90.00, 90.00 degrees
Space group I4mm (No. 107)
Unique sites:
Rb 0.000 0.000 0.000
Ni 0.000 0.000 0.275
Sb 0.000 0.000 0.721

Calculated values
formation energy without anion corrections: -0.075 eV per formula unit

(18)
The following is a PBE calculation of a geometry-optimized LaMnTe2 structure, from Alexandria.

Cell lengths 4.004, 4.209, 14.027 Å; angles 90.00, 90.00, 90.00 degrees
Space group Imm2 (No. 44)
Unique sites:
La 0.000 0.000 0.000
Mn 0.000 0.500 0.725
Te 0.000 0.000 0.395
Te 0.000 0.500 0.171

Calculated values
energy above the most stable polymorph in this dataset: 104 meV/atom
formation energy without anion corrections: -2.821 eV per formula unit

(19)
The following is a PBE calculation of a geometry-optimized Li6MgAg3 structure, from Alexandria.

Cell lengths 7.035, 11.983, 4.415 Å; angles 90.00, 90.00, 90.00 degrees
Space group Pnnm (No. 58)
Unique sites:
Li 0.001 0.131 0.000
Li 0.197 0.640 0.000
Li 0.198 0.360 0.000
Mg 0.000 0.500 0.500
Ag 0.000 0.000 0.500
Ag 0.000 0.271 0.500

Calculated values
energy above the most stable polymorph in this dataset: 0 meV/atom
energy of formation from the pure elements: -0.1202 eV per atom

(20)
The following is a PBE calculation of a geometry-optimized LaScSb2 structure, from Alexandria.

Cell lengths 4.3579, 4.3579, 7.5316 Å; angles 90.00, 90.00, 120.00 degrees
Space group P-3m1 (No. 164)
Unique sites:
La 0.0000 0.0000 0.0000
Sc 0.0000 0.0000 0.5000
Sb 0.3333 0.6667 0.7211

Calculated values
energy above the most stable polymorph in this dataset: 88 meV/atom
formation energy without anion corrections: -3.991 eV per formula unit

Summary of magnetic moment in μB/atom
0.0000; 0.2500; 0.0000; 0.1033; 0.1902; 0.0000; 0.4512; 0.0000; 0.6233; 0.8015; 0.3450; 0.0000; 0.0000; 0.0000; 1.9284; 1.1015; 0.0000; 1.0419; 0.0000; 0.0000
(order as listed above)
Summary of V in Å³/f.u.
112; 68; 83; 122; 199; 50; 86; 119; 119; 136; 47; 131; 452; 130; 85; 79; 82; 118; 186; 124
(order as listed above)
Summary of uncorrected energy in eV per atom
-3.62; -7.17; -8.30; -6.82; -3.19; -5.63; -7.67; -7.94; -4.17; -5.14; -4.76; -5.42; -1.60; -3.83; -6.59; -5.94; -3.65; -5.80; -2.28; -5.87
(order as listed above)